The following is a PBE-GGA calculation of a relaxed structure of Cs2PrYSe4, from the Open Quantum Materials Database.

a = 4.3465 Å, b = 4.3465 Å, c = 16.7233 Å
α = 90.00°, β = 90.00°, γ = 120.00°
Closest atoms and distances in Å follow each position.
Positions (direct):
Se1 0.3333 0.6667 0.0984  3 Pr 3.00
Se2 0.6667 0.3333 0.9016  3 Pr 3.00
Se3 0.6667 0.3333 0.5910  3 Y 2.93
Se4 0.3333 0.6667 0.4090  3 Y 2.93
Pr1 0.0000 0.0000 0.0000  6 Se 3.00
Cs1 0.6667 0.3333 0.2532  6 Se 3.60-3.62
Cs2 0.3333 0.6667 0.7468  6 Se 3.60-3.62
Y1 0.0000 0.0000 0.5000  6 Se 2.93

Computed properties:
density: 4.9 Mg/m³
E_tot: -5.089 eV/atom